1.
Entry from Alexandria via LeMat-Bulk: an optimized crystal structure of YRe2Te (GGA-PBE).

- Final energy: -33.34 eV per cell
- E_form (uncorrected): 291 meV/atom
- Theoretical density: 10.96 g/cm3

extended XYZ file:
```
4
Lattice="-1.876 -3.259 -4.469 0.417 -5.300 -2.417 -3.652 -3.021 1.074" Properties=species:S:1:pos:R:3 pbc="T T T"
Re -3.254 -2.828 0.822
Re -2.953 -5.983 -2.654
Te -3.833 -8.685 -4.359
Y -1.278 -2.895 -1.453
```

2.
Entry from Alexandria via LeMat-Bulk: an optimized crystal structure of CuNi6Pt8 (GGA-PBE).

- Final energy: -85.68 eV per cell
- Energy of formation from the pure elements: 1.43 eV per formula unit
- Theoretical density: 15.36 g/cm3

extended XYZ file:
```
15
Lattice="-1.666 0.349 -2.151 1.356 -9.044 -2.517 -7.097 2.277 5.867" Properties=species:S:1:pos:R:3 pbc="T T T"
Cu -0.833 0.174 -1.075
Ni -4.878 -3.065 0.672
Ni -7.174 -1.178 2.756
Ni -4.516 0.534 0.974
Ni -2.528 -3.353 0.528
Ni -0.232 -5.240 -1.556
Ni -2.891 -6.952 0.226
Pt -6.832 -3.987 1.991
Pt -6.710 1.311 2.756
Pt -3.090 -1.019 -0.427
Pt -0.574 -2.431 -0.792
Pt -0.697 -7.729 -1.556
Pt -4.317 -5.399 1.627
Pt -2.717 -5.008 -1.343
Pt -4.690 -1.411 2.543
```

3.
Entry from Alexandria via LeMat-Bulk: an optimized crystal structure of PmSCl3 (GGA-PBE).

- Final energy: -46.20 eV per cell
- E_form (uncorrected): -1737 meV/atom
- Theoretical density: 2.92 g/cm3

extended XYZ file:
```
10
Lattice="-3.160 -1.046 1.923 -2.388 -4.256 -6.229 5.473 -7.959 4.429" Properties=species:S:1:pos:R:3 pbc="T T T"
Pm -2.109 -4.246 -3.846
Pm 2.035 -9.015 3.969
S -0.509 -6.590 0.918
S 0.434 -6.670 -0.795
Cl -2.886 -3.960 -1.130
Cl -0.705 -1.533 -0.071
Cl -3.093 -6.645 -2.924
Cl 2.812 -9.301 1.253
Cl 3.018 -6.616 3.047
Cl 0.630 -11.727 0.194
```

4.
Entry from Alexandria via LeMat-Bulk: an optimized crystal structure of CePm6YHo2 (GGA-PBE).

- Final energy: -47.62 eV per cell
- Energy of formation from the pure elements: 2.44 eV per formula unit
- Theoretical density: 6.96 g/cm3

extended XYZ file:
```
10
Lattice="-3.335 8.054 -1.554 -0.413 -1.492 -6.844 -4.367 -2.421 4.388" Properties=species:S:1:pos:R:3 pbc="T T T"
Ce -0.206 -0.746 -3.422
Pm -2.743 1.820 -3.828
Pm -3.552 -0.053 2.139
Pm -4.343 4.988 -2.509
Pm -3.772 -0.846 -1.501
Pm -4.563 4.194 -6.149
Pm -5.372 2.322 -0.182
Y -1.668 4.027 -0.777
Ho -1.370 0.748 -0.080
Ho -6.745 3.394 -3.930
```

5.
Entry from Alexandria via LeMat-Bulk: an optimized crystal structure of SbAuS2Cl (GGA-PBE).

- Final energy: -12.98 eV per cell
- Excess energy over the best structure of this formula in the dataset: 49.0 kJ/mol of atoms
- E_form (uncorrected): 905 meV/atom
- Theoretical density: 6.08 g/cm3

extended XYZ file:
```
5
Lattice="4.897 0.000 0.000 0.000 4.763 0.000 0.000 0.000 4.897" Properties=species:S:1:pos:R:3 pbc="T T T"
Sb 2.449 2.381 2.449
S 0.000 0.000 2.449
S 2.449 0.000 0.000
Au 0.000 2.381 0.000
Cl 0.000 0.000 0.000
```

6.
Entry from Alexandria via LeMat-Bulk: an optimized crystal structure of LaTe2RhSe (GGA-PBE).

- Final energy: -20.36 eV per cell
- E_form (uncorrected): 337 meV/atom
- Theoretical density: 5.90 g/cm3

extended XYZ file:
```
5
Lattice="5.415 0.000 0.000 0.000 5.530 0.000 0.000 0.000 5.415" Properties=species:S:1:pos:R:3 pbc="T T T"
Te 0.000 0.000 2.708
Te 2.708 0.000 0.000
Rh 2.708 2.765 2.708
Se 0.000 0.000 0.000
La 0.000 2.765 0.000
```

7.
Entry from Alexandria via LeMat-Bulk: an optimized crystal structure of Pm2MnAl4Pt3 (GGA-PBE).

- Final energy: -60.89 eV per cell
- Energy of formation from the pure elements: -9.12 eV per formula unit
- Theoretical density: 9.09 g/cm3

extended XYZ file:
```
10
Lattice="-4.035 0.337 -1.095 -1.143 -0.927 3.928 0.189 10.482 2.530" Properties=species:S:1:pos:R:3 pbc="T T T"
Pm -1.970 2.808 0.090
Pm -0.430 7.379 3.857
Mn -2.495 4.946 2.681
Al -2.589 -0.295 1.417
Al 0.000 0.000 0.000
Al -1.898 6.802 1.054
Al -0.502 3.384 2.893
Pt 0.094 5.241 1.265
Pt -1.854 9.254 1.646
Pt -0.546 0.932 2.301
```

8.
Entry from Alexandria via LeMat-Bulk: an optimized crystal structure of Rb3HfPa2As6 (GGA-PBE).

- Final energy: -68.31 eV per cell
- Energy of formation from the pure elements: -8.57 eV per formula unit
- Theoretical density: 6.07 g/cm3

extended XYZ file:
```
12
Lattice="7.281 -0.001 0.000 -3.640 6.306 0.000 -1.214 -2.102 8.020" Properties=species:S:1:pos:R:3 pbc="T T T"
Rb -2.424 4.202 4.010
Rb 4.852 0.000 4.010
Rb 1.214 2.101 4.010
Hf 0.000 0.000 0.000
Pa 0.001 4.203 0.000
Pa 3.640 2.101 0.000
As 3.607 2.159 6.577
As 2.461 4.261 1.444
As -1.180 2.044 1.444
As 0.067 4.203 6.577
As -0.034 -0.058 6.576
As 2.360 -0.001 1.444
```

9.
Entry from Alexandria via LeMat-Bulk: an optimized crystal structure of SbP2WS (GGA-PBE).

- Final energy: -23.24 eV per cell
- Excess energy over the best structure of this formula in the dataset: 123.7 kJ/mol of atoms
- E_form (uncorrected): 1757 meV/atom
- Theoretical density: 5.66 g/cm3

extended XYZ file:
```
5
Lattice="4.925 0.000 0.000 0.000 4.925 0.000 0.000 0.000 4.834" Properties=species:S:1:pos:R:3 pbc="T T T"
Sb 0.000 0.000 0.000
S 0.000 0.000 2.417
W 2.462 2.462 2.417
P 0.000 2.462 0.000
P 2.462 0.000 0.000
```

10.
Entry from Alexandria via LeMat-Bulk: an optimized crystal structure of CdBiSb (GGA-PBE).

- Final energy: -17.48 eV per cell
- Excess energy over the best structure of this formula in the dataset: 1.0 kJ/mol of atoms
- E_form (uncorrected): 59 meV/atom
- Theoretical density: 8.18 g/cm3

extended XYZ file:
```
6
Lattice="4.296 0.069 -0.017 -0.027 6.494 0.084 -2.087 -1.734 6.437" Properties=species:S:1:pos:R:3 pbc="T T T"
Sb 2.155 2.259 4.326
Sb 0.027 2.570 2.178
Bi 2.175 -0.800 4.411
Bi 0.006 5.629 2.093
Cd 0.034 3.153 6.324
Cd 2.147 1.676 0.180
```

11.
Entry from Alexandria via LeMat-Bulk: an optimized crystal structure of Pm3Cu2Sn3 (GGA-PBE).

- Final energy: -38.61 eV per cell
- Energy of formation from the pure elements: -4.16 eV per formula unit
- Theoretical density: 7.95 g/cm3

extended XYZ file:
```
8
Lattice="4.542 0.000 -0.004 0.001 4.758 0.311 2.258 1.765 8.986" Properties=species:S:1:pos:R:3 pbc="T T T"
Pm 4.534 2.197 2.815
Pm 2.268 4.327 6.479
Pm 0.000 0.000 0.000
Cu 4.538 4.467 4.690
Cu 2.263 2.057 4.603
Sn 2.264 4.568 3.010
Sn 2.271 2.379 0.154
Sn 4.537 1.956 6.284
```

12.
Entry from Alexandria via LeMat-Bulk: an optimized crystal structure of Pm6Pr8Mg (GGA-PBE).

- Final energy: -66.61 eV per cell
- Energy of formation from the pure elements: 1.73 eV per formula unit
- Theoretical density: 6.38 g/cm3

extended XYZ file:
```
15
Lattice="6.647 0.000 0.000 0.000 8.277 -4.778 0.000 0.000 9.557" Properties=species:S:1:pos:R:3 pbc="T T T"
Pm 4.429 5.370 -2.219
Pm 4.429 7.513 0.982
Pm 4.429 3.670 1.238
Pm 2.218 2.907 6.998
Pm 2.218 0.763 3.797
Pm 2.218 4.607 3.541
Pr 5.464 0.322 2.421
Pr 5.464 6.019 3.847
Pr 5.464 1.935 8.068
Pr 1.183 7.955 2.358
Pr 1.183 2.257 0.931
Pr 1.183 6.341 -3.289
Pr 5.772 2.759 4.778
Pr 0.875 5.518 0.000
Mg 3.324 0.000 0.000
```

13.
Entry from Alexandria via LeMat-Bulk: an optimized crystal structure of PrCu5Pd7 (GGA-PBE).

- Final energy: -65.73 eV per cell
- Energy of formation from the pure elements: -4.12 eV per formula unit
- Theoretical density: 10.01 g/cm3

extended XYZ file:
```
13
Lattice="5.051 0.000 0.000 2.526 6.287 0.056 2.526 0.036 6.287" Properties=species:S:1:pos:R:3 pbc="T T T"
Pr 5.051 0.021 0.021
Cu 6.317 6.283 3.222
Cu 8.837 6.283 3.222
Cu 6.317 3.202 6.293
Cu 8.837 3.202 6.293
Cu 7.577 4.856 4.872
Pd 5.051 2.215 2.223
Pd 5.051 4.135 4.148
Pd 7.577 2.215 4.146
Pd 7.577 4.138 2.228
Pd 2.526 1.427 1.432
Pd 5.051 4.958 1.341
Pd 5.051 1.325 4.962
```